Density functional theory data (PBE) for a relaxed structure of TlSiHSeF.

a = 3.4729 Å, b = 5.3931 Å, c = 6.0326 Å
α = 71.84°, β = 85.63°, γ = 80.74°
With the nearest neighbours (Å) after each atom.
Space group P1 (No. 1)
Unique sites:
Tl 0.0000 0.0000 0.0000 x1  1 H 2.71
Si 0.5168 0.6651 0.4784 x1  1 H 1.55, 1 F 1.67
H 0.6803 0.9268 0.4361 x1  1 Si 1.55
Se 0.0748 0.3942 0.4106 x1  2 Si 2.32-2.42
F 0.4426 0.6013 0.7658 x1  1 Si 1.67

Computed properties:
Polymorph energy (0 for the lowest one)   8.6 kJ/mol of atoms
Theoretical density   5.20 Mg/m³

***

Density functional theory data (PBE) for a relaxed structure of TlSiHSeF.

a = 3.4618 Å, b = 5.1156 Å, c = 6.1105 Å
α = 82.41°, β = 82.99°, γ = 86.47°
With the nearest neighbours (Å) after each atom.
Space group P1 (No. 1)
Unique sites:
Tl 0.0000 0.0000 0.0000 x1  2 H 2.64-2.78
Si 0.1574 0.5854 0.4592 x1  1 H 1.62, 1 F 1.67
H 0.4955 0.7246 0.2847 x1  1 Si 1.62
Se 0.5769 0.5406 0.7422 x1  2 Si 2.37-2.49
F 0.1852 0.2893 0.3715 x1  1 Si 1.67

Computed properties:
Polymorph energy (0 for the lowest one)   8.8 kJ/mol of atoms
Theoretical density   5.18 Mg/m³

***

Density functional theory data (PBE) for a relaxed structure of SnH2Se2F2.

a = 11.4832 Å, b = 3.8020 Å, c = 6.8850 Å
α = 90.00°, β = 114.57°, γ = 90.00°
With the nearest neighbours (Å) after each atom.
Space group C2/m (No. 12)
Unique sites:
Sn 0.0000 0.0000 0.0000 x2  2 F 2.31
H 0.2106 0.0000 0.7978 x4  1 F 1.06
Se 0.1424 0.5000 0.2645 x4  1 H 1.91
F 0.1194 0.0000 0.8010 x4  1 H 1.06

Computed properties:
Calculated total energy   -4.007 eV per atom
Theoretical density   3.85 Mg/m³

***

Density functional theory data (PBE) for a relaxed structure of Sr2HSeF.

a = 4.0013 Å, b = 4.0013 Å, c = 13.0557 Å
α = 90.00°, β = 90.00°, γ = 90.00°
With the nearest neighbours (Å) after each atom.
Space group I-4m2 (No. 119)
Unique sites:
Sr 0.0000 0.0000 0.1390 x4  2 H 2.47, 2 F 2.47
H 0.0000 0.5000 0.7500 x2  4 Sr 2.47
Se 0.0000 0.0000 0.5000 x2  8 Sr 3.36
F 0.0000 0.5000 0.2500 x2  4 Sr 2.47

Computed properties:
Calculated total energy   -4.538 eV per atom
Theoretical density   4.36 Mg/m³

***

Density functional theory data (PBE) for a relaxed structure of Te2HSeF.

a = 4.5618 Å, b = 4.5618 Å, c = 4.2122 Å
α = 90.00°, β = 90.00°, γ = 90.00°
With the nearest neighbours (Å) after each atom.
Space group P4/mmm (No. 123)
Unique sites:
Te 0.0000 0.5000 0.0000 x2  2 H 2.28
H 0.0000 0.0000 0.0000 x1  2 F 2.11, 4 Te 2.28
Se 0.5000 0.5000 0.5000 x1  8 Te 3.10, 4 F 3.23
F 0.0000 0.0000 0.5000 x1  2 H 2.11

Computed properties:
Calculated total energy   -2.920 eV per atom
Theoretical density   6.71 Mg/m³

***

Density functional theory data (PBE) for a relaxed structure of SiHF4.

a = 6.1050 Å, b = 4.7761 Å, c = 6.1978 Å
α = 90.00°, β = 90.00°, γ = 90.00°
With the nearest neighbours (Å) after each atom.
Space group Pmn2_1 (No. 31)
Unique sites:
Si 0.0000 0.1658 0.0000 x2  4 F 1.58
H 0.0000 0.3179 0.4100 x2  6 F 2.49-2.65, 1 Si 2.64
F 0.0000 0.0575 0.7584 x2  1 Si 1.58
F 0.0000 0.8999 0.1527 x2  1 Si 1.58
F 0.2126 0.3483 0.0380 x4  1 Si 1.58

Computed properties:
Calculated total energy   -4.914 eV per atom
Theoretical density   1.93 Mg/m³

***

Density functional theory data (PBE) for a relaxed structure of SiH2F4.

a = 4.6089 Å, b = 4.6089 Å, c = 11.6244 Å
α = 90.00°, β = 90.00°, γ = 90.00°
With the nearest neighbours (Å) after each atom.
Space group I-42m (No. 121)
Unique sites:
Si 0.0000 0.0000 0.0000 x2  4 F 1.58
H 0.0000 0.5000 0.2500 x4  4 F 2.61
F 0.1997 0.1997 0.0773 x8  1 Si 1.58

Computed properties:
Calculated total energy   -4.367 eV per atom
Theoretical density   1.43 Mg/m³

***

Density functional theory data (PBE) for a relaxed structure of SiH4F.

a = 7.7930 Å, b = 6.1835 Å, c = 8.8909 Å
α = 90.00°, β = 122.62°, γ = 90.00°
With the nearest neighbours (Å) after each atom.
Space group P2_1/c (No. 14)
Unique sites:
Si 0.2047 0.2150 0.3363 x4  3 H 1.48-1.49
H 0.0047 0.7238 0.3279 x4  1 Si 1.49
H 0.2053 0.1323 0.4939 x4  1 Si 1.49
H 0.3224 0.0822 0.8703 x4  1 Si 1.48
H 0.3290 0.5761 0.7468 x4  1 F 0.96
F 0.3525 0.7106 0.7060 x4  1 H 0.96

Computed properties:
Calculated total energy   -3.678 eV per atom
Theoretical density   0.94 Mg/m³

***

- theoretical density of number 4 (Sr2HSeF)?
  4.36 Mg/m³

***

- Which of these has the highest theoretical density?
  Te2HSeF

***

Please write out number 2 again, unchanged.
Density functional theory data (PBE) for a relaxed structure of TlSiHSeF.

a = 3.4618 Å, b = 5.1156 Å, c = 6.1105 Å
α = 82.41°, β = 82.99°, γ = 86.47°
With the nearest neighbours (Å) after each atom.
Space group P1 (No. 1)
Unique sites:
Tl 0.0000 0.0000 0.0000 x1  2 H 2.64-2.78
Si 0.1574 0.5854 0.4592 x1  1 H 1.62, 1 F 1.67
H 0.4955 0.7246 0.2847 x1  1 Si 1.62
Se 0.5769 0.5406 0.7422 x1  2 Si 2.37-2.49
F 0.1852 0.2893 0.3715 x1  1 Si 1.67

Computed properties:
Polymorph energy (0 for the lowest one)   8.8 kJ/mol of atoms
Theoretical density   5.18 Mg/m³

***

- Which value of theoretical density does entry 2 give?
  5.18 Mg/m³